[1]
{
  "formula": "Li2BeP",
  "functional": "PBE-GGA",
  "state": "optimized geometry",
  "lattice": [[-1.804, 1.742, 0.406], [-1.180, -0.730, -2.127], [-4.183, -5.299, 4.141]],
  "species": ["Be", "Li", "P", "Li"],
  "frac_coords": [[0.500, 0.500, 0.750], [0.000, 0.000, 0.009], [0.500, 0.500, 0.250], [0.000, 0.000, 0.491]],
  "magmom_total_mub_per_cell": 0.00,
  "final_energy_ev_per_atom": -3.2321,
  "mass_density_g_cm3": 1.8,
  "spacegroup": "No. 123"
}


[2]
{
  "formula": "LiBe2P",
  "functional": "PBE-GGA",
  "state": "optimized geometry",
  "lattice": [[2.507, 0.058, 0.000], [-0.575, 2.441, 0.000], [0.000, 0.000, 7.563]],
  "species": ["Li", "Be", "Be", "P"],
  "frac_coords": [[0.500, 0.500, 0.250], [0.000, 0.000, 0.513], [0.000, 0.000, 0.987], [0.500, 0.500, 0.750]],
  "magmom_total_mub_per_cell": 0.00,
  "final_energy_ev_per_atom": -3.3031,
  "mass_density_g_cm3": 2.0,
  "spacegroup": "No. 65"
}


| no. | energy relative to the elements (eV per atom) |
| --- | --- |
| 1 | 0.009 |
| 2 | 0.391 |